# 1
A relaxed structure of AlTlHg3, computed with PBE-GGA.

Summary:
- VASP energy (eV per atom) = -1.32
- energy relative to the elements (eV/atom) = 0.09

Cell: 5.2932 5.2932 5.2932 Å, 90.00 90.00 90.00°
Fractional coordinates of all 5 atoms:
Al (0.0000, 0.0000, 0.0000)
Tl (0.5000, 0.5000, 0.5000)
Hg (0.0000, 0.0000, 0.5000)
Hg (0.0000, 0.5000, 0.0000)
Hg (0.5000, 0.0000, 0.0000)

***

# 2
A relaxed structure of Li2SnRh, computed with PBE-GGA.

Summary:
- VASP energy (eV per atom) = -3.99
- energy relative to the elements (eV/atom) = -0.20

Cell: 10.0742 10.0742 10.0742 Å, 158.30 158.30 30.88°
Fractional coordinates of all 8 atoms:
Li (0.1018, 0.6250, 0.9768)
Li (0.3750, 0.3518, 0.4768)
Li (0.6482, 0.1250, 0.0232)
Li (0.8750, 0.8982, 0.5232)
Sn (0.2500, 0.7500, 0.5000)
Sn (0.5000, 0.5000, 0.0000)
Rh (0.0000, 0.0000, 0.0000)
Rh (0.7500, 0.2500, 0.5000)

***

# 3
A relaxed structure of CoPb2Br, computed with PBE-GGA.

Summary:
- VASP energy (eV per atom) = -3.77
- E_form (uncorrected) (eV/f.u.) = 1.105

Cell: 3.3270 3.3270 8.9600 Å, 90.00 90.00 90.00°
Fractional coordinates of all 4 atoms:
Co (0.0000, 0.0000, 0.0000)
Pb (0.0000, 0.0000, 0.5252)
Pb (0.5000, 0.5000, 0.2185)
Br (0.5000, 0.5000, 0.8558)

***

# 4
A relaxed structure of CuTeCl, computed with PBE-GGA.

Summary:
- VASP energy (eV per atom) = -3.31
- E_form (uncorrected) (eV/f.u.) = -0.838

Cell: 4.8928 6.4376 7.0247 Å, 62.75 89.36 88.50°
Fractional coordinates of all 6 atoms:
Cu (0.0000, 0.0000, 0.0000)
Cu (0.0016, 0.6924, 0.6150)
Te (0.2065, 0.0574, 0.3077)
Te (0.6514, 0.7932, 0.3076)
Cl (0.0545, 0.6794, 0.9389)
Cl (0.0566, 0.3105, 0.6765)

***

Number 1: M_tot 0.00 μB/cell. Number 2: M_tot 0.00 μB/cell. Number 3: M_tot 1.73 μB/cell. Number 4: M_tot 0.00 μB/cell.